Entry 1:
DFT (PBE-GGA) results for CsSmI6 after structural relaxation.

## Properties
The calculation puts the uncorrected formation energy at -0.93 eV/atom.

Cell: 7.4040 7.4040 7.4040 Å, 94.64 94.64 94.64°
Closest atoms and distances in Å follow each position.
Sites, in units of the cell vectors:
Cs  0.0000  0.0000  0.0000  6 I 3.86
Sm  0.5000  0.5000  0.5000  6 I 3.08
I  0.2096  0.2096  0.5961  1 Sm 3.08
I  0.2096  0.5961  0.2096  1 Sm 3.08
I  0.4039  0.7904  0.7904  1 Sm 3.08
I  0.5961  0.2096  0.2096  1 Sm 3.08
I  0.7904  0.4039  0.7904  1 Sm 3.08
I  0.7904  0.7904  0.4039  1 Sm 3.08

Entry 2:
DFT (PBE-GGA) results for SnHgCl2 after structural relaxation.

## Properties
The calculation puts the uncorrected formation energy at -0.45 eV/atom.

Cell: 5.2572 5.2572 5.2572 Å, 60.00 60.00 60.00°
Closest atoms and distances in Å follow each position.
Sites, in units of the cell vectors:
Sn  0.0000  0.0000  0.0000  8 Cl 3.22
Hg  0.5000  0.5000  0.5000  8 Cl 3.22
Cl  0.2500  0.2500  0.2500  4 Hg 3.22, 4 Sn 3.22
Cl  0.7500  0.7500  0.7500  4 Hg 3.22, 4 Sn 3.22

Entry 3:
DFT (PBE-GGA) results for KBe2Zn after structural relaxation.

## Properties
The value obtained for the calculated formation energy is 1108 meV/atom.

Cell: 2.6772 5.1603 5.2152 Å, 90.00 90.00 90.00°
Closest atoms and distances in Å follow each position.
Sites, in units of the cell vectors:
K  0.0000  0.0000  0.0000  2 K 2.68, 4 Zn 2.91, 4 Be 2.93
Be  0.0000  0.5000  0.5000  6 Be 2.68-2.91, 4 Zn 2.93
Be  0.5000  0.0000  0.5000  6 Be 2.68-2.91, 4 K 2.93
Zn  0.5000  0.5000  0.0000  2 Zn 2.68, 4 K 2.91, 4 Be 2.93

Entry 4:
DFT (PBE-GGA) results for YSe2BrN after structural relaxation.

## Properties
The calculation puts the uncorrected formation energy at 0.52 eV/atom.

Cell: 5.1787 5.1787 4.0032 Å, 90.00 90.00 90.00°
Closest atoms and distances in Å follow each position.
Sites, in units of the cell vectors:
Y  0.0000  0.0000  0.0000  8 Se 3.27, 4 N 3.66
Se  0.0000  0.5000  0.5000  2 Br 2.59
Se  0.5000  0.0000  0.5000  2 Br 2.59
Br  0.5000  0.5000  0.5000  2 N 2.00
N  0.5000  0.5000  0.0000  2 Br 2.00

Entry 5:
DFT (PBE-GGA) results for TbCe2Pm3Y6 after structural relaxation.

## Properties
The value obtained for the calculated formation energy is 46 meV/atom.

Cell: 6.2136 6.2136 11.8200 Å, 95.02 95.02 119.99°
Closest atoms and distances in Å follow each position.
Sites, in units of the cell vectors:
Tb  0.0000  0.0000  0.0000  6 Y 3.55, 6 Ce 3.59
Ce  0.3335  0.6665  0.0000  6 Y 3.54, 3 Ce 3.58-3.59, 3 Tb 3.59
Ce  0.6665  0.3335  0.0000  6 Y 3.54, 3 Ce 3.58-3.59, 3 Tb 3.59
Pm  0.1661  0.8339  0.5000  6 Pm 3.57-3.59, 6 Y 3.60-3.61
Pm  0.5000  0.5000  0.5000  6 Pm 3.58-3.59, 6 Y 3.60-3.61
Pm  0.8339  0.1661  0.5000  6 Pm 3.57-3.59, 6 Y 3.60-3.61
Y  0.0824  0.4177  0.2466  2 Ce 3.54, 1 Tb 3.55, 6 Y 3.58-3.61, 3 Pm 3.60-3.61
Y  0.2529  0.2529  0.7532  2 Ce 3.54, 1 Tb 3.55, 6 Y 3.58-3.61, 3 Pm 3.60
Y  0.4177  0.0824  0.2466  2 Ce 3.54, 1 Tb 3.55, 6 Y 3.58-3.61, 3 Pm 3.60-3.61
Y  0.5823  0.9176  0.7534  2 Ce 3.54, 1 Tb 3.55, 6 Y 3.58-3.61, 3 Pm 3.60-3.61
Y  0.7471  0.7471  0.2468  2 Ce 3.54, 1 Tb 3.55, 6 Y 3.58-3.61, 3 Pm 3.60
Y  0.9176  0.5823  0.7534  2 Ce 3.54, 1 Tb 3.55, 6 Y 3.58-3.61, 3 Pm 3.60-3.61

Entry 6:
DFT (PBE-GGA) results for Rb2ScPbCl6 after structural relaxation.

## Properties
The calculation puts the uncorrected formation energy at -1.67 eV/atom.

Cell: 7.7549 7.7549 7.7549 Å, 120.04 120.04 89.93°
Closest atoms and distances in Å follow each position.
Sites, in units of the cell vectors:
Rb  0.2500  0.7500  0.5000  12 Cl 3.88
Rb  0.7500  0.2500  0.5000  12 Cl 3.88
Sc  0.0000  0.0000  0.0000  6 Cl 2.55
Pb  0.5000  0.5000  0.0000  6 Cl 2.93-2.94
Cl  0.2321  0.2321  0.0000  1 Sc 2.55
Cl  0.2323  0.2323  0.4646  1 Sc 2.55
Cl  0.2323  0.7677  0.0000  1 Sc 2.55
Cl  0.7677  0.2323  0.0000  1 Sc 2.55
Cl  0.7679  0.7679  0.0000  1 Sc 2.55
Cl  0.7677  0.7677  0.5354  1 Sc 2.55

| no. | uncorrected energy (eV/atom) |
| --- | --- |
| 1 | -2.7883 |
| 2 | -2.4524 |
| 3 | -1.3479 |
| 4 | -4.1623 |
| 5 | -5.7487 |
| 6 | -3.9732 |